Record 1
# PmNdCoRh | Alexandria via LeMat-Bulk | PBE-GGA | optimized geometry
# Total DFT energy (no corrections) ... -100.80 eV for the cell shown
# Magnetization ... 2.48 μB/cell
# Formation energy from the elements ... -1.22 eV/f.u.
# Fermi-level density of states ... 6.30 states/eV/cell
data_PmNdCoRh
_cell_length_a 7.000
_cell_length_b 7.000
_cell_length_c 7.000
_cell_angle_alpha 90.00
_cell_angle_beta 90.00
_cell_angle_gamma 90.00
_space_group_name_H-M_alt 'F -4 3 m'
_space_group_IT_number 216
_space_group_name_Hall 'F -4 2 3'
loop_
_atom_site_label
_atom_site_fract_x
_atom_site_fract_y
_atom_site_fract_z
Pm1 0.000 0.000 0.000
Nd1 0.000 0.000 0.500
Co1 0.250 0.250 0.750
Rh1 0.250 0.250 0.250

Record 2
# PmNdCoRu | Alexandria via LeMat-Bulk | PBE-GGA | optimized geometry
# Total DFT energy (no corrections) ... -103.84 eV for the cell shown
# Magnetization ... 1.03 μB/cell
# Formation energy from the elements ... -0.06 eV/f.u.
# Fermi-level density of states ... 17.59 states/eV/cell
data_PmNdCoRu
_cell_length_a 6.960
_cell_length_b 6.960
_cell_length_c 6.960
_cell_angle_alpha 90.00
_cell_angle_beta 90.00
_cell_angle_gamma 90.00
_space_group_name_H-M_alt 'F -4 3 m'
_space_group_IT_number 216
_space_group_name_Hall 'F -4 2 3'
loop_
_atom_site_label
_atom_site_fract_x
_atom_site_fract_y
_atom_site_fract_z
Pm1 0.000 0.000 0.000
Nd1 0.000 0.000 0.500
Co1 0.250 0.250 0.250
Ru1 0.250 0.250 0.750

Record 3
# PmNdTlCo | Alexandria via LeMat-Bulk | PBE-GGA | optimized geometry
# Total DFT energy (no corrections) ... -76.83 eV for the cell shown
# Magnetization ... 4.75 μB/cell
# Formation energy from the elements ... -0.22 eV/f.u.
# Fermi-level density of states ... 9.73 states/eV/cell
data_PmNdTlCo
_cell_length_a 7.448
_cell_length_b 7.448
_cell_length_c 7.448
_cell_angle_alpha 90.00
_cell_angle_beta 90.00
_cell_angle_gamma 90.00
_space_group_name_H-M_alt 'F -4 3 m'
_space_group_IT_number 216
_space_group_name_Hall 'F -4 2 3'
loop_
_atom_site_label
_atom_site_fract_x
_atom_site_fract_y
_atom_site_fract_z
Pm1 0.000 0.000 0.000
Nd1 0.000 0.000 0.500
Tl1 0.250 0.250 0.250
Co1 0.250 0.250 0.750

Record 4
# Pm3Nd3Tl2Co | Alexandria via LeMat-Bulk | PBE-GGA | optimized geometry
# Total DFT energy (no corrections) ... -42.34 eV for the cell shown
# Magnetization ... 0.00 μB/cell
# Formation energy from the elements ... -1.95 eV/f.u.
# Fermi-level density of states ... 11.34 states/eV/cell
data_Pm3Nd3Tl2Co
_cell_length_a 8.9715
_cell_length_b 8.9715
_cell_length_c 3.8111
_cell_angle_alpha 90.00
_cell_angle_beta 90.00
_cell_angle_gamma 120.00
_space_group_name_H-M_alt 'P -6 2 m'
_space_group_IT_number 189
_space_group_name_Hall 'P -6 -2'
loop_
_atom_site_label
_atom_site_fract_x
_atom_site_fract_y
_atom_site_fract_z
Pm1 0.0000 0.7695 0.0000
Nd1 0.0000 0.4019 0.5000
Tl1 0.3333 0.6667 0.0000
Co1 0.0000 0.0000 0.5000

Which value of total DFT energy (no corrections) does entry 1 give? -100.80 eV for the cell shown

magnetization of number 3 (PmNdTlCo)? 4.75 μB/cell

The lowest Fermi-level density of states belongs to which entry? PmNdCoRh